# NaTi3FeO8 GGA+U optimized geometry
# VASP energy = -8.02 eV/atom
data_NaTi3FeO8
_space_group_name_H-M_alt 'C 1 m 1'
_space_group_IT_number 8
_cell_length_a 12.403
_cell_length_b 3.846
_cell_length_c 6.571
_cell_angle_alpha 90.00
_cell_angle_beta 107.33
_cell_angle_gamma 90.00
loop_
_space_group_symop_operation_xyz
'x,y,z'
'x,-y,z'
'x+1/2,y+1/2,z'
'x+1/2,-y+1/2,z'
loop_
_atom_site_label
_atom_site_type_symbol
_atom_site_fract_x
_atom_site_fract_y
_atom_site_fract_z
Na1 Na 0.000 0.000 0.000
Ti1 Ti 0.107 0.500 0.730
Ti2 Ti 0.207 0.500 0.322
Ti3 Ti 0.403 0.000 0.320
Fe1 Fe 0.303 0.000 0.733
O1 O 0.064 0.500 0.398
O2 O 0.134 0.500 0.041
O3 O 0.138 0.000 0.746
O4 O 0.241 0.000 0.372
O5 O 0.266 0.500 0.676
O6 O 0.368 0.500 0.326
O7 O 0.382 0.000 0.036
O8 O 0.451 0.000 0.668